1.
The following is a DFT calculation (GGA-PBE) of an optimized crystal structure of KOs2F.

Cell and atoms, written as POSCAR:
```
KOs2F
1.0
-2.014 -0.168 -2.834
2.838 -0.033 -2.015
0.700 -14.326 -1.786
Os F K
4 2 2
direct
0.875 0.876 0.750
0.375 0.374 0.750
0.124 0.625 0.250
0.626 0.125 0.250
0.250 0.750 0.500
0.500 0.500 0.000
0.000 0.000 0.000
0.750 0.250 0.500
```

Calculated values
**Distance to the lowest polymorph of the same formula**: 0 meV/atom
**SG**: I-42d (122)
**Uncorrected formation energy**: 118 meV/atom
**Fermi-level density of states**: 0.790 states/eV/atom
**Total DFT energy (no corrections)**: -6.239 eV/atom



2.
The following is a DFT calculation (GGA-PBE) of an optimized crystal structure of K3OsF6.

Cell and atoms, written as POSCAR:
```
K3OsF6
1.0
6.694 -0.188 0.177
-1.305 6.570 -0.308
-1.754 -1.579 6.274
K F Os
3 6 1
direct
0.000 0.000 0.500
0.500 0.000 0.000
0.000 0.500 0.000
0.778 0.069 0.778
0.069 0.779 0.779
0.221 0.221 0.930
0.779 0.779 0.070
0.931 0.221 0.221
0.222 0.931 0.222
0.000 0.000 0.000
```

Calculated values
**SG**: C2/m (12)
**Uncorrected formation energy**: -2191 meV/atom
**Fermi-level density of states**: 0.178 states/eV/atom
**Total DFT energy (no corrections)**: -4.766 eV/atom



3.
The following is a DFT calculation (GGA-PBE) of an optimized crystal structure of KOsF2.

Cell and atoms, written as POSCAR:
```
KOsF2
1.0
0.000 3.186 3.186
3.186 0.000 3.186
3.186 3.186 0.000
F K Os
2 1 1
direct
0.250 0.250 0.250
0.750 0.750 0.750
0.000 0.000 0.000
0.500 0.500 0.500
```

Calculated values
**Distance to the lowest polymorph of the same formula**: 1057 meV/atom
**SG**: Fm-3m (225)
**Uncorrected formation energy**: -107 meV/atom
**Fermi-level density of states**: 1.011 states/eV/atom
**Total DFT energy (no corrections)**: -4.124 eV/atom



Q: The highest uncorrected formation energy belongs to which entry?
A: KOs2F



Q: The lowest total DFT energy (no corrections) belongs to which entry?
A: KOs2F



Copy entry 3 word for word.
The following is a DFT calculation (GGA-PBE) of an optimized crystal structure of KOsF2.

Cell and atoms, written as POSCAR:
```
KOsF2
1.0
0.000 3.186 3.186
3.186 0.000 3.186
3.186 3.186 0.000
F K Os
2 1 1
direct
0.250 0.250 0.250
0.750 0.750 0.750
0.000 0.000 0.000
0.500 0.500 0.500
```

Calculated values
**Distance to the lowest polymorph of the same formula**: 1057 meV/atom
**SG**: Fm-3m (225)
**Uncorrected formation energy**: -107 meV/atom
**Fermi-level density of states**: 1.011 states/eV/atom
**Total DFT energy (no corrections)**: -4.124 eV/atom



Q: What is the formula in the first record?
A: KOs2F